[1]
A plane-wave DFT calculation with PBE was carried out for a geometry-optimized TlAgGeO4 structure.

The formation energy (no corrections) comes out at -858 meV per atom. The energy comes out at -5.10 eV per atom.

The space group is Cmcm (No. 63) and the conventional cell measures 6.274, 10.258 and 6.652 Å, with angles of 90.00, 90.00 and 90.00 degrees. The inequivalent atoms are Tl at (0.000, 0.159, 0.250), Ag at (0.000, 0.500, 0.000), Ge at (0.000, 0.138, 0.750), O at (0.000, 0.248, 0.542) and O at (0.218, 0.023, 0.750).

***

[2]
A plane-wave DFT calculation with PBE was carried out for a geometry-optimized Pr3Bi structure.

The energy comes out at -4.68 eV per atom.

The space group is I4/mmm (No. 139) and the conventional cell measures 4.431, 4.431 and 16.836 Å, with angles of 90.00, 90.00 and 90.00 degrees. The inequivalent atoms are Pr at (0.000, 0.000, 0.000), Pr at (0.000, 0.000, 0.311) and Bi at (0.000, 0.000, 0.500).

***

[3]
A plane-wave DFT calculation with PBE was carried out for a geometry-optimized B3MoPd structure.

The energy comes out at -5.56 eV per atom.

The space group is Pm-3m (No. 221) and the conventional cell measures 3.981, 3.981 and 3.981 Å, with angles of 90.00, 90.00 and 90.00 degrees. The inequivalent atoms are B at (0.000, 0.000, 0.500), Mo at (0.500, 0.500, 0.500) and Pd at (0.000, 0.000, 0.000).

***

[4]
A plane-wave DFT calculation with PBE was carried out for a geometry-optimized K2HgMo structure.

The energy comes out at -2.56 eV per atom.

The space group is Pmm2 (No. 25) and the conventional cell measures 3.518, 4.225 and 10.085 Å, with angles of 90.00, 90.00 and 90.00 degrees. The inequivalent atoms are K at (0.000, 0.000, 0.000), K at (0.500, 0.500, 0.401), Hg at (0.500, 0.500, 0.740) and Mo at (0.000, 0.000, 0.670).

***

[5]
A plane-wave DFT calculation with PBE was carried out for a geometry-optimized BaWBr2 structure.

The formation energy (no corrections) comes out at 393 meV per atom. The energy comes out at -4.16 eV per atom.

The space group is P4/mmm (No. 123) and the conventional cell measures 4.044, 4.044 and 8.103 Å, with angles of 90.00, 90.00 and 90.00 degrees. The inequivalent atoms are Ba at (0.000, 0.000, 0.000), W at (0.000, 0.000, 0.500) and Br at (0.500, 0.500, 0.222).

***

[6]
A plane-wave DFT calculation with PBE was carried out for a geometry-optimized Tb2Sm3Y8 structure.

The energy comes out at -5.55 eV per atom.

The space group is C2/m (No. 12) and the conventional cell measures 14.862, 9.205 and 6.901 Å, with angles of 90.00, 108.63 and 90.00 degrees. The inequivalent atoms are Tb at (0.211, 0.000, 0.424), Sm at (0.000, 0.000, 0.000), Sm at (0.000, 0.173, 0.500), Y at (0.087, 0.500, 0.725), Y at (0.118, 0.320, 0.182) and Y at (0.191, 0.000, 0.897).

***

[7]
A plane-wave DFT calculation with PBE was carried out for a geometry-optimized Cs2TlPCl6 structure.

The formation energy (no corrections) comes out at -1227 meV per atom. The energy comes out at -3.28 eV per atom.

The space group is Fm-3m (No. 225) and the conventional cell measures 10.968, 10.968 and 10.968 Å, with angles of 90.00, 90.00 and 90.00 degrees. The inequivalent atoms are Cs at (0.250, 0.250, 0.250), Tl at (0.000, 0.000, 0.000), P at (0.000, 0.000, 0.500) and Cl at (0.000, 0.000, 0.278).

***

[8]
A plane-wave DFT calculation with PBE was carried out for a geometry-optimized PrSm4Tm6 structure.

The energy comes out at -4.13 eV per atom.

The space group is I-42m (No. 121) and the conventional cell measures 7.781, 7.781 and 12.775 Å, with angles of 90.00, 90.00 and 90.00 degrees. The inequivalent atoms are Pr at (0.000, 0.000, 0.000), Sm at (0.171, 0.171, 0.426), Tm at (0.000, 0.500, 0.000) and Tm at (0.242, 0.242, 0.685).

***

[9]
A plane-wave DFT calculation with PBE was carried out for a geometry-optimized Ac2Zn5Pt structure.

The energy comes out at -3.06 eV per atom.

The space group is Cmcm (No. 63) and the conventional cell measures 4.498, 16.919 and 9.284 Å, with angles of 90.00, 90.00 and 90.00 degrees. The inequivalent atoms are Ac at (0.000, 0.000, 0.000), Ac at (0.000, 0.195, 0.250), Zn at (0.000, 0.186, 0.611), Zn at (0.000, 0.346, 0.514), Zn at (0.000, 0.403, 0.250) and Pt at (0.000, 0.443, 0.750).

***

[10]
A plane-wave DFT calculation with PBE was carried out for a geometry-optimized Ni3HBr structure.

The energy comes out at -4.04 eV per atom.

The space group is Pm-3m (No. 221) and the conventional cell measures 3.802, 3.802 and 3.802 Å, with angles of 90.00, 90.00 and 90.00 degrees. The inequivalent atoms are Ni at (0.000, 0.000, 0.500), H at (0.000, 0.000, 0.000) and Br at (0.500, 0.500, 0.500).

***

[11]
A plane-wave DFT calculation with PBE was carried out for a geometry-optimized RbScAs2Se structure.

The formation energy (no corrections) comes out at -461 meV per atom. The energy comes out at -4.48 eV per atom.

The space group is P4/mmm (No. 123) and the conventional cell measures 5.229, 5.229 and 5.342 Å, with angles of 90.00, 90.00 and 90.00 degrees. The inequivalent atoms are Rb at (0.000, 0.000, 0.000), Sc at (0.500, 0.500, 0.500), As at (0.000, 0.500, 0.500) and Se at (0.500, 0.500, 0.000).

***

[12]
A plane-wave DFT calculation with PBE was carried out for a geometry-optimized SrAcCd10 structure.

The energy comes out at -1.46 eV per atom.

The space group is Pmmm (No. 47) and the conventional cell measures 4.867, 6.064 and 10.517 Å, with angles of 90.00, 90.00 and 90.00 degrees. The inequivalent atoms are Sr at (0.000, 0.000, 0.000), Ac at (0.000, 0.500, 0.500), Cd at (0.000, 0.000, 0.329), Cd at (0.000, 0.500, 0.163), Cd at (0.500, 0.000, 0.500), Cd at (0.500, 0.253, 0.255) and Cd at (0.500, 0.500, 0.000).

***

[13]
A plane-wave DFT calculation with PBE was carried out for a geometry-optimized YHoAgRu structure.

The energy comes out at -6.20 eV per atom.

The space group is P4mm (No. 99) and the conventional cell measures 3.423, 3.423 and 7.480 Å, with angles of 90.00, 90.00 and 90.00 degrees. The inequivalent atoms are Y at (0.000, 0.000, 0.000), Ho at (0.000, 0.000, 0.445), Ag at (0.500, 0.500, 0.719) and Ru at (0.500, 0.500, 0.227).

***

[14]
A plane-wave DFT calculation with PBE was carried out for a geometry-optimized CaPmAg5 structure.

The energy comes out at -3.19 eV per atom.

The space group is Pnma (No. 62) and the conventional cell measures 9.301, 5.564 and 12.142 Å, with angles of 90.00, 90.00 and 90.00 degrees. The inequivalent atoms are Ca at (0.136, 0.250, 0.139), Pm at (0.243, 0.250, 0.441), Ag at (0.040, 0.250, 0.904), Ag at (0.067, 0.504, 0.688), Ag at (0.087, 0.750, 0.484) and Ag at (0.194, 0.750, 0.266).

***

[15]
A plane-wave DFT calculation with PBE was carried out for a geometry-optimized Mn3Cu2I8 structure.

The formation energy (no corrections) comes out at -299 meV per atom. The energy comes out at -4.00 eV per atom.

The space group is Cmce (No. 64) and the conventional cell measures 8.433, 16.615 and 11.842 Å, with angles of 90.00, 90.00 and 90.00 degrees. The inequivalent atoms are Mn at (0.000, 0.000, 0.000), Mn at (0.250, 0.136, 0.250), Cu at (0.000, 0.121, 0.611), I at (0.000, 0.006, 0.248), I at (0.000, 0.248, 0.751) and I at (0.240, 0.124, 0.008).

***

[16]
A plane-wave DFT calculation with PBE was carried out for a geometry-optimized Hf4TiOs structure.

The energy comes out at -9.99 eV per atom.

The space group is P4/mmm (No. 123) and the conventional cell measures 3.226, 3.226 and 11.409 Å, with angles of 90.00, 90.00 and 90.00 degrees. The inequivalent atoms are Hf at (0.000, 0.000, 0.143), Hf at (0.500, 0.500, 0.328), Ti at (0.000, 0.000, 0.500) and Os at (0.500, 0.500, 0.000).

***

[17]
A plane-wave DFT calculation with PBE was carried out for a geometry-optimized Pr4Hg2F structure.

The formation energy (no corrections) comes out at -886 meV per atom. The energy comes out at -3.97 eV per atom.

The space group is I4/mmm (No. 139) and the conventional cell measures 4.954, 4.954 and 16.507 Å, with angles of 90.00, 90.00 and 90.00 degrees. The inequivalent atoms are Pr at (0.000, 0.000, 0.187), Pr at (0.000, 0.500, 0.000), Hg at (0.000, 0.000, 0.371) and F at (0.000, 0.000, 0.000).

***

[18]
A plane-wave DFT calculation with PBE was carried out for a geometry-optimized DyNiRu structure.

The energy comes out at -6.60 eV per atom.

The space group is I4mm (No. 107) and the conventional cell measures 3.317, 3.317 and 9.461 Å, with angles of 90.00, 90.00 and 90.00 degrees. The inequivalent atoms are Dy at (0.000, 0.000, 0.000), Ni at (0.000, 0.000, 0.703) and Ru at (0.000, 0.000, 0.302).

***

[19]
A plane-wave DFT calculation with PBE was carried out for a geometry-optimized Ca3Cd2GaRh3 structure.

The energy comes out at -4.04 eV per atom.

The space group is P-62m (No. 189) and the conventional cell measures 7.5878, 7.5878 and 3.7566 Å, with angles of 90.00, 90.00 and 120.00 degrees. The inequivalent atoms are Ca at (0.0000, 0.6248, 0.0000), Cd at (0.3333, 0.6667, 0.5000), Ga at (0.0000, 0.0000, 0.0000) and Rh at (0.0000, 0.2354, 0.5000).

***

[20]
A plane-wave DFT calculation with PBE was carried out for a geometry-optimized BeP3 structure.

The energy comes out at -4.80 eV per atom.

The space group is Im-3m (No. 229) and the conventional cell measures 4.777, 4.777 and 4.777 Å, with angles of 90.00, 90.00 and 90.00 degrees. The inequivalent atoms are Be at (0.000, 0.000, 0.000) and P at (0.000, 0.000, 0.500).